Entry 1:
A plane-wave DFT calculation with PBE-GGA was carried out for a relaxed PaTl3Cl7 crystal.

Summary:
- Final energy: -4.1146 eV/atom
- SG: Cm
- Energy relative to the elements, uncorrected: -1430.8 meV per atom
- Total moment: 0.09 μB/atom

```
data_PaTl3Cl7
_chemical_formula_sum 'Pa1 Tl3 Cl7'
_symmetry_space_group_name_H-M 'P 1'
_symmetry_Int_Tables_number 1
_cell_length_a 7.3986
_cell_length_b 7.3986
_cell_length_c 8.5653
_cell_angle_alpha 63.80
_cell_angle_beta 63.80
_cell_angle_gamma 83.56
loop_
_symmetry_equiv_pos_as_xyz
'x,y,z'
loop_
_atom_site_label
_atom_site_fract_x
_atom_site_fract_y
_atom_site_fract_z
Pa1 0.9534 0.9534 0.0386
Tl1 0.7847 0.2328 0.4845
Tl2 0.5074 0.5074 0.9155
Tl3 0.2328 0.7847 0.4845
Cl1 0.1425 0.1425 0.1390
Cl2 0.6311 0.1404 0.2109
Cl3 0.9649 0.3115 0.7452
Cl4 0.1404 0.6311 0.2109
Cl5 0.6525 0.6525 0.3928
Cl6 0.3115 0.9649 0.7452
Cl7 0.8037 0.8037 0.8829
```

Entry 2:
A plane-wave DFT calculation with PBE-GGA was carried out for a relaxed PaTl2Cl8 crystal.

Summary:
- Final energy: -4.0067 eV/atom
- SG: C2/m
- Energy relative to the elements, uncorrected: -1370.2 meV per atom
- Total moment: 0.00 μB/atom
- Excess energy over the best structure of this formula in the dataset: 0.0 meV per atom

```
data_PaTl2Cl8
_chemical_formula_sum 'Pa1 Tl2 Cl8'
_symmetry_space_group_name_H-M 'P 1'
_symmetry_Int_Tables_number 1
_cell_length_a 9.9736
_cell_length_b 8.3833
_cell_length_c 5.8420
_cell_angle_alpha 89.57
_cell_angle_beta 90.00
_cell_angle_gamma 126.50
loop_
_symmetry_equiv_pos_as_xyz
'x,y,z'
loop_
_atom_site_label
_atom_site_fract_x
_atom_site_fract_y
_atom_site_fract_z
Tl1 0.6105 0.2210 0.2437
Tl2 0.3895 0.7790 0.7563
Pa1 0.0000 0.0000 0.0000
Cl1 0.9008 0.1677 0.2374
Cl2 0.2669 0.1677 0.2374
Cl3 0.0992 0.8323 0.7627
Cl4 0.3899 0.7797 0.2534
Cl5 0.7331 0.8323 0.7627
Cl6 0.8471 0.6942 0.2617
Cl7 0.1529 0.3058 0.7383
Cl8 0.6101 0.2203 0.7466
```

Entry 3:
A plane-wave DFT calculation with PBE-GGA was carried out for a relaxed PaTl6Cl12 crystal.

Summary:
- Final energy: -3.6379 eV/atom
- SG: R-3
- Energy relative to the elements, uncorrected: -1224.6 meV per atom
- Total moment: 0.00 μB/atom

```
data_PaTl6Cl12
_chemical_formula_sum 'Pa1 Tl6 Cl12'
_symmetry_space_group_name_H-M 'P 1'
_symmetry_Int_Tables_number 1
_cell_length_a 9.0761
_cell_length_b 9.0761
_cell_length_c 9.0761
_cell_angle_alpha 98.96
_cell_angle_beta 98.96
_cell_angle_gamma 98.96
loop_
_symmetry_equiv_pos_as_xyz
'x,y,z'
loop_
_atom_site_label
_atom_site_fract_x
_atom_site_fract_y
_atom_site_fract_z
Pa1 0.0000 0.0000 0.0000
Tl1 0.6468 0.8427 0.3840
Tl2 0.6160 0.3532 0.1573
Tl3 0.1573 0.6160 0.3532
Tl4 0.3532 0.1573 0.6160
Tl5 0.3840 0.6468 0.8427
Tl6 0.8427 0.3840 0.6468
Cl1 0.8244 0.5877 0.4162
Cl2 0.4162 0.8244 0.5877
Cl3 0.5877 0.4162 0.8244
Cl4 0.1756 0.4123 0.5838
Cl5 0.5838 0.1756 0.4123
Cl6 0.4123 0.5838 0.1756
Cl7 0.0695 0.9850 0.2815
Cl8 0.0150 0.7185 0.9305
Cl9 0.7185 0.9305 0.0150
Cl10 0.9305 0.0150 0.7185
Cl11 0.9850 0.2815 0.0695
Cl12 0.2815 0.0695 0.9850
```

Entry 4:
A plane-wave DFT calculation with PBE-GGA was carried out for a relaxed PaTlCl2 crystal.

Summary:
- Final energy: -4.9942 eV/atom
- SG: R-3m
- Energy relative to the elements, uncorrected: -1105.3 meV per atom
- Total moment: 0.00 μB/atom

```
data_PaTlCl2
_chemical_formula_sum 'Pa1 Tl1 Cl2'
_symmetry_space_group_name_H-M 'P 1'
_symmetry_Int_Tables_number 1
_cell_length_a 3.4519
_cell_length_b 3.4519
_cell_length_c 10.8556
_cell_angle_alpha 80.85
_cell_angle_beta 80.85
_cell_angle_gamma 60.00
loop_
_symmetry_equiv_pos_as_xyz
'x,y,z'
loop_
_atom_site_label
_atom_site_fract_x
_atom_site_fract_y
_atom_site_fract_z
Tl1 0.0000 0.0000 0.0000
Pa1 0.5000 0.5000 0.5000
Cl1 0.1043 0.1043 0.6870
Cl2 0.8957 0.8957 0.3130
```

Entry 5:
A plane-wave DFT calculation with PBE-GGA was carried out for a relaxed PaTlCl6 crystal.

Summary:
- Final energy: -4.5604 eV/atom
- SG: P-1
- Energy relative to the elements, uncorrected: -1692.6 meV per atom
- Total moment: 0.00 μB/atom
- Excess energy over the best structure of this formula in the dataset: 0.0 meV per atom

```
data_PaTlCl6
_chemical_formula_sum 'Pa1 Tl1 Cl6'
_symmetry_space_group_name_H-M 'P 1'
_symmetry_Int_Tables_number 1
_cell_length_a 7.1681
_cell_length_b 7.1724
_cell_length_c 7.7991
_cell_angle_alpha 62.66
_cell_angle_beta 62.62
_cell_angle_gamma 59.97
loop_
_symmetry_equiv_pos_as_xyz
'x,y,z'
loop_
_atom_site_label
_atom_site_fract_x
_atom_site_fract_y
_atom_site_fract_z
Pa1 0.0000 0.0000 0.0000
Tl1 0.5000 0.5000 0.5000
Cl1 0.0427 0.3809 0.7765
Cl2 0.7998 0.0427 0.7763
Cl3 0.6185 0.2005 0.2236
Cl4 0.2002 0.9573 0.2237
Cl5 0.9573 0.6191 0.2235
Cl6 0.3815 0.7995 0.7764
```

Entry 6:
A plane-wave DFT calculation with PBE-GGA was carried out for a relaxed PaTl2Cl8 crystal.

Summary:
- Final energy: -3.9116 eV/atom
- SG: C2/m
- Energy relative to the elements, uncorrected: -1275.1 meV per atom
- Total moment: 0.00 μB/atom
- Excess energy over the best structure of this formula in the dataset: 95.1 meV per atom

```
data_PaTl2Cl8
_chemical_formula_sum 'Pa1 Tl2 Cl8'
_symmetry_space_group_name_H-M 'P 1'
_symmetry_Int_Tables_number 1
_cell_length_a 4.7844
_cell_length_b 6.9837
_cell_length_c 10.9300
_cell_angle_alpha 105.81
_cell_angle_beta 102.64
_cell_angle_gamma 90.00
loop_
_symmetry_equiv_pos_as_xyz
'x,y,z'
loop_
_atom_site_label
_atom_site_fract_x
_atom_site_fract_y
_atom_site_fract_z
Pa1 0.5000 0.0000 0.0000
Tl1 0.8237 0.4084 0.6474
Tl2 0.1763 0.5916 0.3526
Cl1 0.4190 0.6282 0.8379
Cl2 0.6123 0.9381 0.2246
Cl3 0.7571 0.7236 0.5142
Cl4 0.9893 0.2039 0.9785
Cl5 0.2429 0.2764 0.4858
Cl6 0.3877 0.0619 0.7754
Cl7 0.5810 0.3718 0.1621
Cl8 0.0107 0.7961 0.0215
```